# 1
! CrTe2Pt | Alexandria | meta-GGA SCAN | PBEsol geometry; values from VASP
&SYSTEM
  ibrav = 0, nat = 4, ntyp = 3
/
ATOMIC_SPECIES
Te 127.60 Te.upf
Pt 195.08 Pt.upf
Cr 52.00 Cr.upf
CELL_PARAMETERS angstrom
-0.308 3.713 0.641
-0.255 -0.698 3.921
5.415 -1.491 0.087
ATOMIC_POSITIONS crystal
Te 0.023 0.000 0.046
Te 0.739 0.500 0.478
Pt 0.279 0.000 0.557
Cr 0.459 0.500 0.918
! Energy above the most stable polymorph in this dataset ... 0.000 eV per atom
! Symmetry ... Amm2
! E_form (uncorrected) ... -0.97 eV per formula unit
! E ... -164.05 eV/f.u.
! Mass density ... 10.45 g/cm3



# 2
! CrTe2Pt | Alexandria | meta-GGA SCAN | PBEsol geometry; values from VASP
&SYSTEM
  ibrav = 0, nat = 4, ntyp = 3
/
ATOMIC_SPECIES
Cr 52.00 Cr.upf
Te 127.60 Te.upf
Pt 195.08 Pt.upf
CELL_PARAMETERS angstrom
3.411 0.000 0.000
1.705 2.954 0.000
1.705 0.985 7.463
ATOMIC_POSITIONS crystal
Cr 0.500 0.500 0.500
Te 0.754 0.754 0.737
Te 0.246 0.246 0.263
Pt 0.000 0.000 0.000
! Energy above the most stable polymorph in this dataset ... 0.492 eV per atom
! Symmetry ... R-3m
! E_form (uncorrected) ... 0.99 eV per formula unit
! E ... -162.09 eV/f.u.
! Mass density ... 11.09 g/cm3



# 3
! ZnCrTePt2 | Alexandria | meta-GGA SCAN | PBEsol geometry; values from VASP
&SYSTEM
  ibrav = 0, nat = 5, ntyp = 4
/
ATOMIC_SPECIES
Pt 195.08 Pt.upf
Zn 65.41 Zn.upf
Te 127.60 Te.upf
Cr 52.00 Cr.upf
CELL_PARAMETERS angstrom
-3.239 -0.994 3.070
3.015 -2.482 2.378
1.149 3.707 2.413
ATOMIC_POSITIONS crystal
Pt 0.500 0.000 0.000
Pt 0.000 0.500 0.000
Zn 0.000 0.000 0.500
Te 0.500 0.500 0.500
Cr 0.000 0.000 0.000
! Symmetry ... P4/mmm
! E_form (uncorrected) ... 4.00 eV per formula unit
! E ... -205.54 eV/f.u.
! Mass density ... 11.04 g/cm3



# 4
! TiCrPt3 | Alexandria | meta-GGA SCAN | PBEsol geometry; values from VASP
&SYSTEM
  ibrav = 0, nat = 5, ntyp = 3
/
ATOMIC_SPECIES
Pt 195.08 Pt.upf
Ti 47.87 Ti.upf
Cr 52.00 Cr.upf
CELL_PARAMETERS angstrom
4.596 0.000 0.000
0.000 4.596 0.000
0.000 0.000 4.596
ATOMIC_POSITIONS crystal
Pt 0.000 0.500 0.000
Pt 0.500 0.000 0.000
Pt 0.000 0.000 0.500
Ti 0.000 0.000 0.000
Cr 0.500 0.500 0.500
! Symmetry ... Pm-3m
! Energy of formation ... 0.506 eV/atom
! E ... -242.46 eV/f.u.
! Mass density ... 11.71 g/cm3



# 5
! Tl3CrPt | Alexandria | meta-GGA SCAN | PBEsol geometry; values from VASP
&SYSTEM
  ibrav = 0, nat = 5, ntyp = 3
/
ATOMIC_SPECIES
Tl 204.38 Tl.upf
Pt 195.08 Pt.upf
Cr 52.00 Cr.upf
CELL_PARAMETERS angstrom
-0.756 -0.709 4.980
5.029 0.019 0.766
-0.125 5.037 0.698
ATOMIC_POSITIONS crystal
Tl 0.000 0.000 0.500
Tl 0.000 0.500 0.000
Tl 0.500 0.000 0.000
Pt 0.500 0.500 0.500
Cr 0.000 0.000 0.000
! Symmetry ... Pm-3m
! Energy of formation ... 0.807 eV/atom
! E ... -301.62 eV/f.u.
! Mass density ... 10.85 g/cm3



# 6
! Tl2CrPt | Alexandria | meta-GGA SCAN | PBEsol geometry; values from VASP
&SYSTEM
  ibrav = 0, nat = 4, ntyp = 3
/
ATOMIC_SPECIES
Tl 204.38 Tl.upf
Pt 195.08 Pt.upf
Cr 52.00 Cr.upf
CELL_PARAMETERS angstrom
3.263 0.000 0.000
1.631 2.825 0.000
1.631 0.942 8.460
ATOMIC_POSITIONS crystal
Tl 0.251 0.251 0.247
Tl 0.749 0.749 0.753
Pt 0.000 0.000 0.000
Cr 0.500 0.500 0.500
! Symmetry ... R-3m
! Energy of formation ... 0.306 eV/atom
! E ... -232.07 eV/f.u.
! Mass density ... 13.97 g/cm3



> What is the formula in the sixth record?

Tl2CrPt



> E of number 5 (Tl3CrPt)?

-301.62 eV/f.u.



> Which formula does entry 4 have?

TiCrPt3